A relaxed structure of ScSiF2. Source: the Alexandria database, functional GGA-PBE. Values from VASP.

```
&SYSTEM
  ibrav = 0, nat = 8, ntyp = 3
/
ATOMIC_SPECIES
Sc 44.96 Sc.upf
Si 28.09 Si.upf
F 19.00 F.upf
ATOMIC_POSITIONS angstrom
Sc 0.0000 0.0000 0.0000
Sc 0.0000 1.9822 3.7470
Si 1.9822 0.0000 3.7470
Si 0.0000 0.0000 7.4941
F 2.9734 0.8078 -1.8735
F 0.8078 0.9911 1.8735
F -0.9911 1.1745 5.6205
F 1.1745 0.9911 9.3676
CELL_PARAMETERS angstrom
-1.9822 1.9822 7.4941
1.9822 -1.9822 7.4941
1.9822 1.9822 -7.4941
```

Its raw formation energy is -1754 meV per atom. The volume comes out at 118 Å³ per cell. For the energy, the calculation gives -5.629 eV per atom.

***

A relaxed structure of BaIr2Br. Source: the Alexandria database, functional GGA-PBE. Values from VASP.

```
&SYSTEM
  ibrav = 0, nat = 4, ntyp = 3
/
ATOMIC_SPECIES
Ba 137.33 Ba.upf
Ir 192.22 Ir.upf
Br 79.90 Br.upf
ATOMIC_POSITIONS angstrom
Ba 0.0000 0.0000 0.0000
Ir 1.8192 2.3989 3.5997
Ir 2.6136 2.3989 1.1766
Br 2.2164 0.0000 2.3881
CELL_PARAMETERS angstrom
4.7708 0.0000 0.0000
0.0000 4.7977 0.0000
-0.3380 0.0000 4.7763
```

Its raw formation energy is 213 meV per atom. The volume comes out at 109 Å³ per cell. For the energy, the calculation gives -5.116 eV per atom.